# LuNbTlNi

A relaxed structure of LuNbTlNi (GGA-PBE, OQMD).

Summary:
* E above lowest polymorph: 0 meV per atom
* calculated density: 11.222 g cm⁻³
* total DFT energy (no corrections): -5.347 eV/atom
* space group: No. 216

Lattice parameters (Å, degrees): 4.807 4.807 4.807 60.00 60.00 60.00
Positions (direct):
Lu 0.500 0.500 0.500
Nb 0.250 0.250 0.250
Ni 0.750 0.750 0.750
Tl 0.000 0.000 0.000

***

# BeZnInFe

A relaxed structure of BeZnInFe (GGA-PBE, OQMD).

Summary:
* E above lowest polymorph: 0 meV per atom
* calculated density: 7.479 g cm⁻³
* total DFT energy (no corrections): -3.639 eV/atom
* space group: No. 216

Lattice parameters (Å, degrees): 4.253 4.253 4.253 60.00 60.00 60.00
Site moments in Bohr magnetons follow the coordinates.
Positions (direct):
Fe 0.250 0.250 0.250  1.76
In 0.000 0.000 0.000  -0.03
Be 0.750 0.750 0.750  -0.04
Zn 0.500 0.500 0.500  -0.02

***

# ZnGePO

A relaxed structure of ZnGePO (GGA-PBE, OQMD).

Summary:
* E above lowest polymorph: 36 meV per atom
* calculated density: 4.533 g cm⁻³
* total DFT energy (no corrections): -4.574 eV/atom
* space group: No. 26

Lattice parameters (Å, degrees): 3.532 6.021 6.374 90.00 90.00 90.00
Positions (direct):
Ge 0.000 0.656 0.519
Ge 0.000 0.344 0.019
O 0.000 0.371 0.395
O 0.000 0.629 0.895
Zn 0.500 0.208 0.485
Zn 0.500 0.792 0.985
P 0.500 0.158 0.855
P 0.500 0.842 0.355